Entry 1:
LaHo3Tm3 (PBE, relaxed); formation energy = 296 meV/atom; energy above the lowest structure with this stoichiometry = 0 meV per atom; DOS(E_F) = 10.736 states/eV/cell
1.0
5.3257 3.0748 2.3412
-5.3257 3.0748 2.3412
0.0000 -6.1495 2.3412
La Ho Tm
1 3 3
Cartesian
0.0000 0.0000 0.0000 La
-2.1732 -1.2547 2.0163 Ho
2.1732 -1.2547 2.0163 Ho
0.0000 2.5094 2.0163 Ho
-2.3702 -1.3684 5.3677 Tm
2.3702 -1.3684 5.3677 Tm
0.0000 2.7369 5.3677 Tm

---

Entry 2:
SrBe2Os (PBE, relaxed); formation energy = 1040 meV/atom; energy above the lowest structure with this stoichiometry = 997 meV per atom; DOS(E_F) = 1.611 states/eV/cell
1.0
-2.0491 2.0491 3.9244
2.0491 -2.0491 3.9244
2.0491 2.0491 -3.9244
Sr Be Os
1 2 1
Cartesian
0.0000 0.0000 0.0000 Sr
2.0491 0.0000 1.9622 Be
0.0000 0.0000 3.9244 Be
0.0000 2.0491 1.9622 Os

---

Number 1: total magnetization 0.0 μB/f.u.. Number 2: total magnetization 0.0 μB/f.u..